The following is a DFT calculation (PBE) of a relaxed Pr3CuN crystal.

a b c (Å): 8.738 6.359 9.420
angles (deg): 90.00 115.17 90.00
Fractional coordinates of all 20 atoms:
Pr  0.079  0.077  0.360
Pr  0.079  0.423  0.860
Pr  0.202  0.592  0.553
Pr  0.202  0.908  0.053
Pr  0.360  0.109  0.769
Pr  0.360  0.391  0.269
Pr  0.640  0.609  0.731
Pr  0.640  0.891  0.231
Pr  0.798  0.092  0.947
Pr  0.798  0.408  0.447
Pr  0.921  0.577  0.140
Pr  0.921  0.923  0.640
Cu  0.426  0.649  0.916
Cu  0.426  0.851  0.416
Cu  0.574  0.149  0.584
Cu  0.574  0.351  0.084
N  0.078  0.250  0.104
N  0.078  0.250  0.604
N  0.922  0.750  0.396
N  0.922  0.750  0.896

Properties
As for the distance to the lowest polymorph of the same formula: 0.0 meV/atom. As for the formation energy (no corrections): -480 meV per atom. The density comes out at 7.0 g/cm³. The symmetry is P2_1/c (14).